DFT (PBE) results for a relaxed structure of HoBrF.

Cell and atoms, written as CIF:
```
data_HoBrF
_chemical_formula_sum 'Ho6 Br6 F6'
_cell_length_a 8.845
_cell_length_b 8.845
_cell_length_c 8.598
_cell_angle_alpha 117.66
_cell_angle_beta 117.66
_cell_angle_gamma 43.60
_space_group_name_H-M_alt 'P 1'
_space_group_IT_number 1
loop_
_space_group_symop_operation_xyz
'x,y,z'
loop_
_atom_site_label
_atom_site_type_symbol
_atom_site_fract_x
_atom_site_fract_y
_atom_site_fract_z
Ho1 Ho 0.071 0.929 0.500
Ho2 Ho 0.072 0.405 0.339
Ho3 Ho 0.405 0.072 0.839
Ho4 Ho 0.474 0.857 0.344
Ho5 Ho 0.857 0.474 0.844
Ho6 Ho 0.929 0.071 0.000
Br1 Br 0.226 0.701 0.162
Br2 Br 0.321 0.803 0.856
Br3 Br 0.701 0.226 0.662
Br4 Br 0.704 0.891 0.209
Br5 Br 0.803 0.321 0.356
Br6 Br 0.891 0.704 0.709
F1 F 0.173 0.337 0.048
F2 F 0.188 0.594 0.457
F3 F 0.337 0.173 0.548
F4 F 0.400 0.843 0.561
F5 F 0.594 0.188 0.957
F6 F 0.843 0.400 0.061
```

## Properties
- Raw formation energy: -233 kJ per mole of atoms
- Fermi-level density of states: 0.227 states/eV per atom
- E: -92.29 eV for the cell shown

***

DFT (PBE) results for a relaxed structure of HoBrF.

Cell and atoms, written as CIF:
```
data_HoBrF
_chemical_formula_sum 'Ho2 Br2 F2'
_cell_length_a 3.608
_cell_length_b 6.939
_cell_length_c 7.464
_cell_angle_alpha 104.85
_cell_angle_beta 90.01
_cell_angle_gamma 104.70
_space_group_name_H-M_alt 'P 1'
_space_group_IT_number 1
loop_
_space_group_symop_operation_xyz
'x,y,z'
loop_
_atom_site_label
_atom_site_type_symbol
_atom_site_fract_x
_atom_site_fract_y
_atom_site_fract_z
Ho1 Ho 0.212 0.421 0.262
Ho2 Ho 0.788 0.579 0.738
Br1 Br 0.141 0.278 0.818
Br2 Br 0.859 0.722 0.182
F1 F 0.379 0.765 0.800
F2 F 0.621 0.235 0.200
```

## Properties
- Raw formation energy: -236 kJ per mole of atoms
- Fermi-level density of states: 0.206 states/eV per atom
- E: -30.94 eV for the cell shown

***

DFT (PBE) results for a relaxed structure of HoBrF2.

Cell and atoms, written as CIF:
```
data_HoBrF2
_chemical_formula_sum 'Ho2 Br2 F4'
_cell_length_a 5.628
_cell_length_b 5.628
_cell_length_c 6.977
_cell_angle_alpha 90.00
_cell_angle_beta 90.00
_cell_angle_gamma 141.10
_space_group_name_H-M_alt 'P 1'
_space_group_IT_number 1
loop_
_space_group_symop_operation_xyz
'x,y,z'
loop_
_atom_site_label
_atom_site_type_symbol
_atom_site_fract_x
_atom_site_fract_y
_atom_site_fract_z
Ho1 Ho 0.243 0.757 0.750
Ho2 Ho 0.757 0.243 0.250
Br1 Br 0.043 0.957 0.250
Br2 Br 0.957 0.043 0.750
F1 F 0.311 0.689 0.071
F2 F 0.311 0.689 0.429
F3 F 0.689 0.311 0.571
F4 F 0.689 0.311 0.929
```

## Properties
- Raw formation energy: -321 kJ per mole of atoms
- Fermi-level density of states: 0.000 states/eV per atom
- E: -46.61 eV for the cell shown

***

DFT (PBE) results for a relaxed structure of HoBr2F.

Cell and atoms, written as CIF:
```
data_HoBr2F
_chemical_formula_sum 'Ho1 Br2 F1'
_cell_length_a 7.785
_cell_length_b 7.785
_cell_length_c 7.785
_cell_angle_alpha 149.45
_cell_angle_beta 147.67
_cell_angle_gamma 45.07
_space_group_name_H-M_alt 'P 1'
_space_group_IT_number 1
loop_
_space_group_symop_operation_xyz
'x,y,z'
loop_
_atom_site_label
_atom_site_type_symbol
_atom_site_fract_x
_atom_site_fract_y
_atom_site_fract_z
Ho1 Ho 0.000 0.000 0.000
Br1 Br 0.134 0.634 0.500
Br2 Br 0.866 0.366 0.500
F1 F 0.500 0.000 0.500
```

## Properties
- Raw formation energy: -254 kJ per mole of atoms
- Fermi-level density of states: 0.000 states/eV per atom
- E: -20.34 eV for the cell shown

***

DFT (PBE) results for a relaxed structure of IBr3F.

Cell and atoms, written as CIF:
```
data_IBr3F
_chemical_formula_sum 'I4 Br12 F4'
_cell_length_a 10.504
_cell_length_b 6.082
_cell_length_c 13.685
_cell_angle_alpha 90.00
_cell_angle_beta 122.09
_cell_angle_gamma 90.00
_space_group_name_H-M_alt 'P 1'
_space_group_IT_number 1
loop_
_space_group_symop_operation_xyz
'x,y,z'
loop_
_atom_site_label
_atom_site_type_symbol
_atom_site_fract_x
_atom_site_fract_y
_atom_site_fract_z
I1 I 0.244 0.033 0.111
I2 I 0.244 0.467 0.611
I3 I 0.756 0.533 0.389
I4 I 0.756 0.967 0.889
Br1 Br 0.050 0.737 0.108
Br2 Br 0.050 0.763 0.608
Br3 Br 0.238 0.217 0.766
Br4 Br 0.238 0.283 0.266
Br5 Br 0.432 0.202 0.601
Br6 Br 0.432 0.298 0.101
Br7 Br 0.568 0.702 0.899
Br8 Br 0.568 0.798 0.399
Br9 Br 0.762 0.717 0.734
Br10 Br 0.762 0.783 0.234
Br11 Br 0.950 0.237 0.392
Br12 Br 0.950 0.263 0.892
F1 F 0.249 0.656 0.492
F2 F 0.249 0.844 0.992
F3 F 0.751 0.156 0.008
F4 F 0.751 0.344 0.508
```

## Properties
- Raw formation energy: -26 kJ per mole of atoms
- Fermi-level density of states: 0.197 states/eV per atom
- E: -39.13 eV for the cell shown
- Energy relative to the lowest polymorph listed for this composition: 0.0 meV per atom

***

DFT (PBE) results for a relaxed structure of IBr3F.

Cell and atoms, written as CIF:
```
data_IBr3F
_chemical_formula_sum 'I1 Br3 F1'
_cell_length_a 5.593
_cell_length_b 5.593
_cell_length_c 5.593
_cell_angle_alpha 90.00
_cell_angle_beta 90.00
_cell_angle_gamma 90.00
_space_group_name_H-M_alt 'P 1'
_space_group_IT_number 1
loop_
_space_group_symop_operation_xyz
'x,y,z'
loop_
_atom_site_label
_atom_site_type_symbol
_atom_site_fract_x
_atom_site_fract_y
_atom_site_fract_z
I1 I 0.000 0.000 0.000
Br1 Br 0.000 0.000 0.500
Br2 Br 0.000 0.500 0.000
Br3 Br 0.500 0.000 0.000
F1 F 0.500 0.500 0.500
```

## Properties
- Raw formation energy: 20 kJ per mole of atoms
- Fermi-level density of states: 2.339 states/eV per atom
- E: -7.42 eV for the cell shown
- Energy relative to the lowest polymorph listed for this composition: 471.6 meV per atom

***

Question: raw formation energy of number 4 (HoBr2F)?
Answer: -254 kJ per mole of atoms

***

Repeat the fourth record exactly.
DFT (PBE) results for a relaxed structure of HoBr2F.

Cell and atoms, written as CIF:
```
data_HoBr2F
_chemical_formula_sum 'Ho1 Br2 F1'
_cell_length_a 7.785
_cell_length_b 7.785
_cell_length_c 7.785
_cell_angle_alpha 149.45
_cell_angle_beta 147.67
_cell_angle_gamma 45.07
_space_group_name_H-M_alt 'P 1'
_space_group_IT_number 1
loop_
_space_group_symop_operation_xyz
'x,y,z'
loop_
_atom_site_label
_atom_site_type_symbol
_atom_site_fract_x
_atom_site_fract_y
_atom_site_fract_z
Ho1 Ho 0.000 0.000 0.000
Br1 Br 0.134 0.634 0.500
Br2 Br 0.866 0.366 0.500
F1 F 0.500 0.000 0.500
```

## Properties
- Raw formation energy: -254 kJ per mole of atoms
- Fermi-level density of states: 0.000 states/eV per atom
- E: -20.34 eV for the cell shown

***

Question: Among the records above, which one has the highest E?
Answer: number 6